Entry from the Alexandria database: a relaxed BC3 crystal (PBE).

Total energy, eV per atom: -8.33
Space group: P3m1 (156)
Total moment, μB per atom: 0.000
Energy above the lowest structure with this stoichiometry, meV/atom: 18

a b c (Å): 2.5439 2.5439 13.1843
angles (deg): 90.00 90.00 120.00
With the nearest neighbours (Å) after each atom.
Element x y z (fractional)
B: 0.6667 0.3333 0.8178  1 C 1.52
B: 0.0000 0.0000 0.8980  1 C 1.58
B: 0.3333 0.6667 0.6495  4 C 1.62-1.63
C: 0.6667 0.3333 0.7025  4 B 1.52-1.63
C: 0.6667 0.3333 0.3321  4 C 1.55-1.56
C: 0.0000 0.0000 0.3700  4 C 1.55-1.57
C: 0.0000 0.0000 0.4890  4 C 1.55-1.57
C: 0.3333 0.6667 0.5267  3 C 1.55, 1 B 1.62
C: 0.3333 0.6667 0.1753  4 C 1.55-1.56
C: 0.6667 0.3333 0.2136  4 C 1.55-1.56
C: 0.0000 0.0000 0.0182  3 C 1.56, 1 B 1.58
C: 0.3333 0.6667 0.0573  4 C 1.56

---

Entry from the Alexandria database: a relaxed BaNd2ReO8 crystal (PBE).

Total energy, eV per atom: -7.73
Space group: P-1 (2)
Total moment, μB per atom: 0.018
E_form (uncorrected), kJ/mol of atoms: -234.82

a b c (Å): 5.3092 4.5660 7.2548
angles (deg): 72.58 90.09 90.28
With the nearest neighbours (Å) after each atom.
Element x y z (fractional)
Ba: 0.0000 0.0000 0.5000  12 O 2.81-3.06
Nd: 0.4994 0.3883 0.7860  2 O 2.29-2.32
Nd: 0.5006 0.6117 0.2140  2 O 2.29-2.32
Re: 0.0000 0.0000 0.0000  6 O 1.89-1.92
O: 0.9996 0.6622 0.2344  1 Re 1.92
O: 0.7469 0.8105 0.8910  1 Re 1.89
O: 0.7417 0.1829 0.1077  1 Re 1.90
O: 0.0004 0.3378 0.7656  1 Re 1.92
O: 0.2531 0.1895 0.1090  1 Re 1.89
O: 0.2583 0.8171 0.8923  1 Re 1.90
O: 0.4996 0.7593 0.4933  2 O 2.23-2.34, 2 Nd 2.29-2.32
O: 0.5004 0.2407 0.5067  2 O 2.23-2.34, 2 Nd 2.29-2.32

---

Among the records above, which one has the highest total moment? BaNd2ReO8

---

Which of these has the lowest total energy? BC3

---

Among the records above, which one has the highest total energy? BaNd2ReO8

---

What is the total moment in the second record? 0.018 μB per atom